No. 1
## TlCoAs2 (PBE-GGA)

Data for an optimized crystal structure of TlCoAs2.

Results
Volume   298.2 Å³/cell
Formation energy from the elements   0.5950 eV per atom
SG   Fm-3m
VASP energy   -0.3012 Ry per atom
Energy relative to the lowest polymorph listed for this composition   14.939 kcal/mol of atoms
Magnetic moment   0.00 μB/f.u.

The structure in POSCAR format:
```
TlCoAs2
1.0
6.6809 0.0000 0.0000
0.0000 6.6809 0.0000
0.0000 0.0000 6.6809
Tl Co As
4 4 8
direct
0.0000 0.0000 0.0000
0.0000 0.5000 0.5000
0.5000 0.0000 0.5000
0.5000 0.5000 0.0000
0.0000 0.0000 0.5000
0.0000 0.5000 0.0000
0.5000 0.0000 0.0000
0.5000 0.5000 0.5000
0.2500 0.2500 0.2500
0.2500 0.2500 0.7500
0.2500 0.7500 0.2500
0.2500 0.7500 0.7500
0.7500 0.2500 0.2500
0.7500 0.2500 0.7500
0.7500 0.7500 0.2500
0.7500 0.7500 0.7500
```

No. 2
## Tl2CoAs (PBE-GGA)

Data for an optimized crystal structure of Tl2CoAs.

Results
Volume   172.4 Å³/cell
Formation energy from the elements   0.6185 eV per atom
SG   C2/m
VASP energy   -0.2575 Ry per atom
Energy relative to the lowest polymorph listed for this composition   11.760 kcal/mol of atoms
Magnetic moment   1.60 μB/f.u.

The structure in POSCAR format:
```
Tl2CoAs
1.0
6.4266 0.0000 0.0000
0.0000 8.3809 0.0000
-0.0130 0.0000 3.2005
Tl Co As
4 2 2
direct
0.2500 0.2500 0.0000
0.2500 0.7500 0.0000
0.7500 0.2500 0.0000
0.7500 0.7500 0.0000
0.0000 0.0000 0.5000
0.5000 0.5000 0.5000
0.0000 0.5000 0.5000
0.5000 0.0000 0.5000
```

No. 3
## Tl2CoAs (PBE-GGA)

Data for an optimized crystal structure of Tl2CoAs.

Results
Volume   84.1 Å³/cell
Formation energy from the elements   0.5721 eV per atom
SG   P4/mmm
VASP energy   -0.2609 Ry per atom
Energy relative to the lowest polymorph listed for this composition   10.691 kcal/mol of atoms
Magnetic moment   1.33 μB/f.u.

The structure in POSCAR format:
```
Tl2CoAs
1.0
3.1702 0.0000 0.0000
0.0000 3.1702 0.0000
0.0000 0.0000 8.3671
Tl Co As
2 1 1
direct
0.0000 0.0000 0.2093
0.0000 0.0000 0.7907
0.5000 0.5000 0.0000
0.5000 0.5000 0.5000
```

No. 4
## TlCoAs2 (PBE-GGA)

Data for an optimized crystal structure of TlCoAs2.

Results
Volume   393.4 Å³/cell
Formation energy from the elements   0.0975 eV per atom
SG   I-42d
VASP energy   -0.3377 Ry per atom
Energy relative to the lowest polymorph listed for this composition   3.467 kcal/mol of atoms
Magnetic moment   0.00 μB/f.u.

The structure in POSCAR format:
```
TlCoAs2
1.0
6.0026 0.0000 0.0000
0.0000 6.0026 0.0000
0.0000 0.0000 10.9178
Tl Co As
4 4 8
direct
0.0000 0.0000 0.0000
0.0000 0.5000 0.2500
0.5000 0.0000 0.7500
0.5000 0.5000 0.5000
0.0000 0.0000 0.5000
0.0000 0.5000 0.7500
0.5000 0.0000 0.2500
0.5000 0.5000 0.0000
0.1532 0.2500 0.6250
0.2500 0.6532 0.8750
0.2500 0.8468 0.3750
0.3468 0.2500 0.1250
0.6532 0.7500 0.1250
0.7500 0.1532 0.3750
0.7500 0.3468 0.8750
0.8468 0.7500 0.6250
```

No. 5
## TlCo3As (PBE-GGA)

Data for an optimized crystal structure of TlCo3As.

Results
Volume   107.6 Å³/cell
Formation energy from the elements   1.7320 eV per atom
SG   Pm-3m
VASP energy   -0.2892 Ry per atom
Energy relative to the lowest polymorph listed for this composition   26.663 kcal/mol of atoms
Magnetic moment   4.68 μB/f.u.

The structure in POSCAR format:
```
TlCo3As
1.0
4.7564 0.0000 0.0000
0.0000 4.7564 0.0000
0.0000 0.0000 4.7564
Tl Co As
1 3 1
direct
0.0000 0.0000 0.0000
0.0000 0.0000 0.5000
0.0000 0.5000 0.0000
0.5000 0.0000 0.0000
0.5000 0.5000 0.5000
```

No. 6
## TlCo3As (PBE-GGA)

Data for an optimized crystal structure of TlCo3As.

Results
Volume   83.7 Å³/cell
Formation energy from the elements   0.5758 eV per atom
SG   Pm-3m
VASP energy   -0.3742 Ry per atom
Energy relative to the lowest polymorph listed for this composition   0.000 kcal/mol of atoms
Magnetic moment   2.97 μB/f.u.

The structure in POSCAR format:
```
TlCo3As
1.0
4.3736 0.0000 0.0000
0.0000 4.3736 0.0000
0.0000 0.0000 4.3736
Tl Co As
1 3 1
direct
0.0000 0.0000 0.0000
0.0000 0.5000 0.5000
0.5000 0.0000 0.5000
0.5000 0.5000 0.0000
0.5000 0.5000 0.5000
```

No. 7
## TlCoAs2 (PBE-GGA)

Data for an optimized crystal structure of TlCoAs2.

Results
Volume   74.9 Å³/cell
Formation energy from the elements   0.5567 eV per atom
SG   P4/mmm
VASP energy   -0.3040 Ry per atom
Energy relative to the lowest polymorph listed for this composition   14.057 kcal/mol of atoms
Magnetic moment   0.00 μB/f.u.

The structure in POSCAR format:
```
TlCoAs2
1.0
3.8949 0.0000 0.0000
0.0000 3.8949 0.0000
0.0000 0.0000 4.9353
Tl Co As
1 1 2
direct
0.0000 0.0000 0.0000
0.5000 0.5000 0.0000
0.0000 0.5000 0.5000
0.5000 0.0000 0.5000
```

No. 8
## TlCoAs (PBE-GGA)

Data for an optimized crystal structure of TlCoAs.

Results
Volume   118.7 Å³/cell
Formation energy from the elements   0.1359 eV per atom
SG   I4mm
VASP energy   -0.3360 Ry per atom
Energy relative to the lowest polymorph listed for this composition   6.072 kcal/mol of atoms
Magnetic moment   0.71 μB/f.u.

The structure in POSCAR format:
```
TlCoAs
1.0
3.0499 0.0000 0.0000
0.0000 3.0499 0.0000
0.0000 0.0000 12.7645
Tl Co As
2 2 2
direct
0.0000 0.0000 0.0000
0.5000 0.5000 0.5000
0.0000 0.0000 0.6764
0.5000 0.5000 0.1764
0.0000 0.0000 0.2621
0.5000 0.5000 0.7621
```

No. 9
## TlCoAs4 (PBE-GGA)

Data for an optimized crystal structure of TlCoAs4.

Results
Volume   127.4 Å³/cell
Formation energy from the elements   0.6234 eV per atom
SG   F-43m
VASP energy   -0.2980 Ry per atom
Magnetic moment   2.25 μB/f.u.

The structure in POSCAR format:
```
TlCoAs4
1.0
0.0000 3.9942 3.9942
3.9942 0.0000 3.9942
3.9942 3.9942 0.0000
Tl Co As
1 1 4
direct
0.0000 0.0000 0.0000
0.2500 0.2500 0.2500
0.1284 0.6239 0.6239
0.6239 0.1284 0.6239
0.6239 0.6239 0.1284
0.6239 0.6239 0.6239
```

No. 10
## Tl3CoAs (PBE-GGA)

Data for an optimized crystal structure of Tl3CoAs.

Results
Volume   132.1 Å³/cell
Formation energy from the elements   0.4394 eV per atom
SG   Pm-3m
VASP energy   -0.2449 Ry per atom
Energy relative to the lowest polymorph listed for this composition   0.000 kcal/mol of atoms
Magnetic moment   1.41 μB/f.u.

The structure in POSCAR format:
```
Tl3CoAs
1.0
5.0925 0.0000 0.0000
0.0000 5.0925 0.0000
0.0000 0.0000 5.0925
Tl Co As
3 1 1
direct
0.0000 0.0000 0.5000
0.0000 0.5000 0.0000
0.5000 0.0000 0.0000
0.0000 0.0000 0.0000
0.5000 0.5000 0.5000
```

No. 11
## TlCoAs2 (PBE-GGA)

Data for an optimized crystal structure of TlCoAs2.

Results
Volume   151.7 Å³/cell
Formation energy from the elements   0.6239 eV per atom
SG   I-4m2
VASP energy   -0.2991 Ry per atom
Energy relative to the lowest polymorph listed for this composition   15.607 kcal/mol of atoms
Magnetic moment   1.10 μB/f.u.

The structure in POSCAR format:
```
TlCoAs2
1.0
4.3125 0.0000 0.0000
0.0000 4.3125 0.0000
0.0000 0.0000 8.1551
Tl Co As
2 2 4
direct
0.0000 0.0000 0.0000
0.5000 0.5000 0.5000
0.0000 0.5000 0.2500
0.5000 0.0000 0.7500
0.0000 0.0000 0.5000
0.0000 0.5000 0.7500
0.5000 0.0000 0.2500
0.5000 0.5000 0.0000
```

No. 12
## TlCoAs2 (PBE-GGA)

Data for an optimized crystal structure of TlCoAs2.

Results
Volume   161.8 Å³/cell
Formation energy from the elements   0.0371 eV per atom
SG   Imm2
VASP energy   -0.3422 Ry per atom
Energy relative to the lowest polymorph listed for this composition   2.074 kcal/mol of atoms
Magnetic moment   0.00 μB/f.u.

The structure in POSCAR format:
```
TlCoAs2
1.0
2.9957 0.0000 0.0000
0.0000 3.0324 0.0000
0.0000 0.0000 17.8071
Tl Co As
2 2 4
direct
0.0000 0.0000 0.0000
0.5000 0.5000 0.5000
0.0000 0.5000 0.7621
0.5000 0.0000 0.2621
0.0000 0.0000 0.6593
0.0000 0.5000 0.3297
0.5000 0.0000 0.8297
0.5000 0.5000 0.1593
```

No. 13
## TlCoAs (PBE-GGA)

Data for an optimized crystal structure of TlCoAs.

Results
Volume   58.7 Å³/cell
Formation energy from the elements   0.1421 eV per atom
SG   P3m1
VASP energy   -0.3355 Ry per atom
Energy relative to the lowest polymorph listed for this composition   6.215 kcal/mol of atoms
Magnetic moment   0.00 μB/f.u.

The structure in POSCAR format:
```
TlCoAs
1.0
3.4190 0.0000 0.0000
-1.7095 2.9609 0.0000
0.0000 0.0000 5.8013
Tl Co As
1 1 1
direct
0.0000 0.0000 0.0000
0.6667 0.3333 0.6468
0.3333 0.6667 0.4465
```

No. 14
## TlCoAs2 (PBE-GGA)

Data for an optimized crystal structure of TlCoAs2.

Results
Volume   154.6 Å³/cell
Formation energy from the elements   0.2199 eV per atom
SG   Immm
VASP energy   -0.3288 Ry per atom
Energy relative to the lowest polymorph listed for this composition   6.289 kcal/mol of atoms
Magnetic moment   0.47 μB/f.u.

The structure in POSCAR format:
```
TlCoAs2
1.0
2.9233 0.0000 0.0000
0.0000 5.0255 0.0000
0.0000 0.0000 10.5267
Tl Co As
2 2 4
direct
0.0000 0.0000 0.0000
0.5000 0.5000 0.5000
0.0000 0.0000 0.5000
0.5000 0.5000 0.0000
0.0000 0.5000 0.1835
0.0000 0.5000 0.8165
0.5000 0.0000 0.3165
0.5000 0.0000 0.6835
```

No. 15
## Tl4CoAs (PBE-GGA)

Data for an optimized crystal structure of Tl4CoAs.

Results
Volume   170.7 Å³/cell
Formation energy from the elements   0.8141 eV per atom
SG   F-43m
VASP energy   -0.2001 Ry per atom
Magnetic moment   1.96 μB/f.u.

The structure in POSCAR format:
```
Tl4CoAs
1.0
0.0000 4.4028 4.4028
4.4028 0.0000 4.4028
4.4028 4.4028 0.0000
Tl Co As
4 1 1
direct
0.1248 0.1248 0.1248
0.1248 0.1248 0.6255
0.1248 0.6255 0.1248
0.6255 0.1248 0.1248
0.5000 0.5000 0.5000
0.7500 0.7500 0.7500
```

No. 16
## Tl2CoAs (PBE-GGA)

Data for an optimized crystal structure of Tl2CoAs.

Results
Volume   176.7 Å³/cell
Formation energy from the elements   0.1728 eV per atom
SG   Amm2
VASP energy   -0.2903 Ry per atom
Energy relative to the lowest polymorph listed for this composition   1.483 kcal/mol of atoms
Magnetic moment   0.00 μB/f.u.

The structure in POSCAR format:
```
Tl2CoAs
1.0
3.1918 0.0000 0.0000
0.0000 4.4649 0.0000
0.0000 0.0000 12.4008
Tl Co As
4 2 2
direct
0.0000 0.0000 0.0000
0.0000 0.5000 0.5000
0.5000 0.0000 0.3073
0.5000 0.5000 0.8073
0.5000 0.0000 0.5384
0.5000 0.5000 0.0384
0.0000 0.0000 0.6756
0.0000 0.5000 0.1756
```

No. 17
## TlCoAs2 (PBE-GGA)

Data for an optimized crystal structure of TlCoAs2.

Results
Volume   176.5 Å³/cell
Formation energy from the elements   0.0314 eV per atom
SG   Cm
VASP energy   -0.3426 Ry per atom
Energy relative to the lowest polymorph listed for this composition   1.943 kcal/mol of atoms
Magnetic moment   0.00 μB/f.u.

The structure in POSCAR format:
```
TlCoAs2
1.0
7.5394 0.0000 0.0000
0.0000 3.6077 0.0000
-1.8689 0.0000 6.4880
Tl Co As
2 2 4
direct
0.0000 0.0000 0.0000
0.5000 0.5000 0.0000
0.2029 0.5000 0.4262
0.7029 0.0000 0.4262
0.2064 0.0000 0.6383
0.3871 0.0000 0.3582
0.7064 0.5000 0.6383
0.8871 0.5000 0.3582
```

No. 18
## Tl2CoAs (PBE-GGA)

Data for an optimized crystal structure of Tl2CoAs.

Results
Volume   173.9 Å³/cell
Formation energy from the elements   0.6420 eV per atom
SG   I4/mmm
VASP energy   -0.2558 Ry per atom
Energy relative to the lowest polymorph listed for this composition   12.304 kcal/mol of atoms
Magnetic moment   1.72 μB/f.u.

The structure in POSCAR format:
```
Tl2CoAs
1.0
4.5089 0.0000 0.0000
0.0000 4.5089 0.0000
0.0000 0.0000 8.5533
Tl Co As
4 2 2
direct
0.0000 0.5000 0.2500
0.0000 0.5000 0.7500
0.5000 0.0000 0.2500
0.5000 0.0000 0.7500
0.0000 0.0000 0.0000
0.5000 0.5000 0.5000
0.0000 0.0000 0.5000
0.5000 0.5000 0.0000
```

No. 19
## Tl2CoAs2 (PBE-GGA)

Data for an optimized crystal structure of Tl2CoAs2.

Results
Volume   223.4 Å³/cell
Formation energy from the elements   0.0291 eV per atom
SG   P4/mbm
VASP energy   -0.3086 Ry per atom
Magnetic moment   0.00 μB/f.u.

The structure in POSCAR format:
```
Tl2CoAs2
1.0
6.1047 0.0000 0.0000
0.0000 6.1047 0.0000
0.0000 0.0000 5.9942
Tl Co As
4 2 4
direct
0.1917 0.3083 0.0000
0.3083 0.8083 0.0000
0.6917 0.1917 0.0000
0.8083 0.6917 0.0000
0.0000 0.0000 0.5000
0.5000 0.5000 0.5000
0.1456 0.6456 0.5000
0.3544 0.1456 0.5000
0.6456 0.8544 0.5000
0.8544 0.3544 0.5000
```

No. 20
## TlCoAs2 (PBE-GGA)

Data for an optimized crystal structure of TlCoAs2.

Results
Volume   82.0 Å³/cell
Formation energy from the elements   0.0048 eV per atom
SG   P2/m
VASP energy   -0.3446 Ry per atom
Energy relative to the lowest polymorph listed for this composition   1.330 kcal/mol of atoms
Magnetic moment   0.00 μB/f.u.

The structure in POSCAR format:
```
TlCoAs2
1.0
4.7490 0.0000 0.0000
0.0000 3.8323 0.0000
-2.2434 0.0000 4.5081
Tl Co As
1 1 2
direct
0.0000 0.0000 0.0000
0.5000 0.0000 0.5000
0.3088 0.5000 0.6399
0.6912 0.5000 0.3601
```